No. 1
Here is a geometry-optimized RbNiHg2 structure from Alexandria via LeMat-Bulk. Energies are from PBEsol.

Calculated values
Volume, Å³/cell: 391
Magnetization, Bohr magnetons per cell: 1.59
Electronic total energy, eV per atom: -1.62

Cell: 7.309 7.309 7.309 Å, 90.00 90.00 90.00°
Element x y z (fractional)
Rb 0.000 0.000 0.000
Rb 0.000 0.500 0.500
Rb 0.500 0.000 0.500
Rb 0.500 0.500 0.000
Ni 0.000 0.000 0.500
Ni 0.000 0.500 0.000
Ni 0.500 0.000 0.000
Ni 0.500 0.500 0.500
Hg 0.250 0.250 0.250
Hg 0.250 0.250 0.750
Hg 0.250 0.750 0.250
Hg 0.250 0.750 0.750
Hg 0.750 0.250 0.250
Hg 0.750 0.250 0.750
Hg 0.750 0.750 0.250
Hg 0.750 0.750 0.750

***

No. 2
Here is a geometry-optimized Y4FeAs structure from Alexandria via LeMat-Bulk. Energies are from PBEsol.

Calculated values
Volume, Å³/cell: 152
Magnetization, Bohr magnetons per cell: 2.60
Electronic total energy, eV per atom: -6.21

Cell: 5.988 5.988 5.988 Å, 60.00 60.00 60.00°
Element x y z (fractional)
Y 0.125 0.125 0.125
Y 0.125 0.125 0.626
Y 0.125 0.626 0.125
Y 0.626 0.125 0.125
Fe 0.750 0.750 0.750
As 0.500 0.500 0.500

***

No. 3
Here is a geometry-optimized LiFeP2O structure from Alexandria via LeMat-Bulk. Energies are from PBEsol.

Calculated values
Volume, Å³/cell: 71
Magnetization, Bohr magnetons per cell: 0.24
Offset from the most stable computed form, eV per atom: 0.000
Electronic total energy, eV per atom: -5.73
ΔE_f (raw), eV per atom: -0.178

Cell: 4.626 4.626 3.318 Å, 90.00 90.00 90.00°
Element x y z (fractional)
Li 0.000 0.000 0.000
Fe 0.500 0.500 0.500
P 0.000 0.500 0.500
P 0.500 0.000 0.500
O 0.500 0.500 0.000

***

No. 4
Here is a geometry-optimized CsTlCl2 structure from Alexandria via LeMat-Bulk. Energies are from PBEsol.

Calculated values
Volume, Å³/cell: 480
Magnetization, Bohr magnetons per cell: 0.00
Offset from the most stable computed form, eV per atom: 0.000
Electronic total energy, eV per atom: -3.30
ΔE_f (raw), eV per atom: -1.405

Cell: 7.828 7.828 7.828 Å, 90.00 90.00 90.00°
Element x y z (fractional)
Cs 0.000 0.000 0.000
Cs 0.000 0.500 0.500
Cs 0.500 0.000 0.500
Cs 0.500 0.500 0.000
Tl 0.000 0.000 0.500
Tl 0.000 0.500 0.000
Tl 0.500 0.000 0.000
Tl 0.500 0.500 0.500
Cl 0.250 0.250 0.250
Cl 0.250 0.250 0.750
Cl 0.250 0.750 0.250
Cl 0.250 0.750 0.750
Cl 0.750 0.250 0.250
Cl 0.750 0.250 0.750
Cl 0.750 0.750 0.250
Cl 0.750 0.750 0.750

***

No. 5
Here is a geometry-optimized SrTlHg2 structure from Alexandria via LeMat-Bulk. Energies are from PBEsol.

Calculated values
Volume, Å³/cell: 108
Magnetization, Bohr magnetons per cell: 0.00
Offset from the most stable computed form, eV per atom: 0.054
Electronic total energy, eV per atom: -1.77

Cell: 4.940 4.940 4.426 Å, 90.00 90.00 90.00°
Element x y z (fractional)
Sr 0.000 0.000 0.000
Tl 0.500 0.500 0.000
Hg 0.000 0.500 0.500
Hg 0.500 0.000 0.500

***

No. 6
Here is a geometry-optimized Nb3Fe structure from Alexandria via LeMat-Bulk. Energies are from PBEsol.

Calculated values
Volume, Å³/cell: 66
Magnetization, Bohr magnetons per cell: 2.32
Electronic total energy, eV per atom: -10.06

Cell: 4.034 4.034 4.034 Å, 90.00 90.00 90.00°
Element x y z (fractional)
Nb 0.000 0.000 0.500
Nb 0.000 0.500 0.000
Nb 0.500 0.000 0.000
Fe 0.500 0.500 0.500

***

No. 7
Here is a geometry-optimized Ag2HgPt structure from Alexandria via LeMat-Bulk. Energies are from PBEsol.

Calculated values
Volume, Å³/cell: 135
Magnetization, Bohr magnetons per cell: 0.00
Electronic total energy, eV per atom: -3.55

Cell: 4.014 4.014 8.367 Å, 90.00 90.00 90.00°
Element x y z (fractional)
Ag 0.000 0.500 0.250
Ag 0.000 0.500 0.750
Ag 0.500 0.000 0.250
Ag 0.500 0.000 0.750
Hg 0.000 0.000 0.000
Hg 0.500 0.500 0.500
Pt 0.000 0.000 0.500
Pt 0.500 0.500 0.000

***

No. 8
Here is a geometry-optimized La2ThS5 structure from Alexandria via LeMat-Bulk. Energies are from PBEsol.

Calculated values
Volume, Å³/cell: 742
Magnetization, Bohr magnetons per cell: 0.00
Electronic total energy, eV per atom: -7.29
ΔE_f (raw), eV per atom: -2.201

Cell: 11.908 8.287 7.519 Å, 90.00 90.00 90.00°
Element x y z (fractional)
La 0.176 0.002 0.028
La 0.176 0.498 0.028
La 0.324 0.502 0.528
La 0.324 0.998 0.528
La 0.676 0.002 0.472
La 0.676 0.498 0.472
La 0.824 0.502 0.972
La 0.824 0.998 0.972
Th 0.010 0.250 0.575
Th 0.490 0.750 0.075
Th 0.510 0.250 0.925
Th 0.990 0.750 0.425
S 0.001 0.250 0.958
S 0.096 0.544 0.666
S 0.096 0.956 0.666
S 0.190 0.250 0.333
S 0.218 0.750 0.304
S 0.282 0.250 0.804
S 0.310 0.750 0.833
S 0.404 0.044 0.166
S 0.404 0.456 0.166
S 0.499 0.750 0.458
S 0.501 0.250 0.542
S 0.596 0.544 0.834
S 0.596 0.956 0.834
S 0.690 0.250 0.167
S 0.718 0.750 0.196
S 0.782 0.250 0.696
S 0.810 0.750 0.667
S 0.904 0.044 0.334
S 0.904 0.456 0.334
S 0.999 0.750 0.042

***

no.,density (g cm⁻³)
1,9.28
2,5.32
3,3.29
4,5.65
5,10.65
6,8.46
7,15.06
8,6.00